VASP calculation (PBE) on a relaxed Mn6Co3Ru crystal.

## Properties
Its crystal system is trigonal. The magnetic moment is 2.4 μB per cell. Its energy of formation from the pure elements is 283 meV per atom. The value obtained for the total DFT energy (no corrections) is -8.278 eV per atom.

Structure (POSCAR):
```
Mn6Co3Ru
1.0
3.5884 2.0718 5.5040
-3.5884 2.0718 5.5040
0.0000 -4.1436 5.5040
Mn Co Ru
12 6 2
Cartesian
0.0000 -2.7053 3.6269 Mn
-2.3429 1.3527 3.6269 Mn
0.0000 -1.5778 6.0904 Mn
-1.3664 0.7889 6.0904 Mn
-2.3429 -1.3527 12.8851 Mn
-1.3665 -0.7889 10.4216 Mn
1.3664 0.7889 6.0904 Mn
2.3429 1.3527 3.6269 Mn
1.3665 -0.7889 10.4216 Mn
0.0000 1.5778 10.4216 Mn
2.3429 -1.3527 12.8852 Mn
0.0000 2.7053 12.8852 Mn
-2.2957 -1.3254 7.0612 Co
0.0000 -2.6509 9.4509 Co
-2.2957 1.3254 9.4509 Co
2.2957 -1.3254 7.0612 Co
0.0000 2.6509 7.0612 Co
2.2957 1.3254 9.4509 Co
0.0000 0.0000 0.0000 Ru
0.0000 0.0000 8.2560 Ru
```